VASP calculation (PBE-GGA) on an optimized crystal structure of Tm7Cd4Pb.

a b c (Å): 7.8251 7.8251 9.2459
angles (deg): 118.34 118.34 42.81
Fractional positions:
Tm: 0.0000 0.0000 0.0000
Tm: 0.2435 0.2435 0.7109
Tm: 0.3131 0.3131 0.1270
Tm: 0.4222 0.4222 0.5771
Tm: 0.5778 0.5778 0.4229
Tm: 0.6869 0.6869 0.8730
Tm: 0.7565 0.7565 0.2891
Cd: 0.0339 0.0339 0.6868
Cd: 0.1851 0.1851 0.3452
Cd: 0.8149 0.8149 0.6548
Cd: 0.9661 0.9661 0.3132
Pb: 0.5000 0.5000 0.0000

ΔE_f: -0.10 eV per atom
Size of the total moment: 0.00 Bohr magnetons per cell